(1)
Below is an optimized crystal structure of Sc2BeInC, with properties calculated at the PBE-GGA level.

```
Sc2BeInC
1.0
4.739 0.000 0.000
0.000 4.739 0.000
0.000 0.000 3.573
Sc Be In C
2 1 1 1
direct
0.000 0.500 0.000 Sc
0.500 0.000 0.000 Sc
0.000 0.000 0.500 Be
0.500 0.500 0.500 In
0.000 0.000 0.000 C
```

Properties
The formation energy comes out at -0.3326 eV per atom. As for the density of states at the Fermi level: 3.0 states/eV/cell. Its energy above the most stable polymorph in this dataset is 0.00 eV/f.u. The symmetry is No. 123.

(2)
Below is an optimized crystal structure of BeInTc2C, with properties calculated at the PBE-GGA level.

```
BeInTc2C
1.0
4.255 0.000 0.000
0.000 4.255 0.000
0.000 0.000 3.559
Be In Tc C
1 1 2 1
direct
0.000 0.000 0.000 Be
0.500 0.500 0.000 In
0.000 0.500 0.500 Tc
0.500 0.000 0.500 Tc
0.000 0.000 0.500 C
```

Properties
The formation energy comes out at 0.2110 eV per atom. As for the density of states at the Fermi level: 3.6 states/eV/cell. The symmetry is No. 123.

(3)
Below is an optimized crystal structure of BeIrC2, with properties calculated at the PBE-GGA level.

```
BeIrC2
1.0
-2.218 2.218 4.482
2.218 -2.218 4.482
2.218 2.218 -4.482
Be Ir C
2 2 4
direct
0.000 0.000 0.000 Be
0.750 0.250 0.500 Be
0.250 0.750 0.500 Ir
0.500 0.500 0.000 Ir
0.117 0.625 0.992 C
0.375 0.367 0.492 C
0.633 0.125 0.008 C
0.875 0.883 0.508 C
```

Properties
The formation energy comes out at 0.8126 eV per atom. As for the density of states at the Fermi level: 2.3 states/eV/cell. The symmetry is No. 122.

(4)
Below is an optimized crystal structure of Be3IrC, with properties calculated at the PBE-GGA level.

```
Be3IrC
1.0
4.178 0.000 0.000
0.000 4.178 0.000
0.000 0.000 4.178
Be Ir C
3 1 1
direct
0.000 0.000 0.500 Be
0.000 0.500 0.000 Be
0.500 0.000 0.000 Be
0.000 0.000 0.000 Ir
0.500 0.500 0.500 C
```

Properties
The formation energy comes out at 1.6049 eV per atom. As for the density of states at the Fermi level: 1.9 states/eV/cell. Its energy above the most stable polymorph in this dataset is 6.79 eV/f.u. The symmetry is No. 221.

Number 1 is which compound?
Sc2BeInC